Record 1
La2HoPdSe5 | GGA-PBE | optimized geometry

Output
* density of states at the Fermi level: 5.43 states/eV per cell
* E_form (uncorrected): -1673 meV per atom
* raw total energy: -5.79 eV per atom
* total moment: 0.000 μB/f.u.

a = 4.0603 Å, b = 9.0178 Å, c = 12.6076 Å
α = 90.00°, β = 90.00°, γ = 103.01°
Atoms (fractional coordinates):
La 0.1098 0.2197 0.3468
La 0.8744 0.7487 0.1977
La 0.8902 0.7803 0.8468
La 0.1256 0.2513 0.6977
Pd 0.4436 0.8873 0.4254
Pd 0.5564 0.1127 0.9254
Se 0.6926 0.3852 0.1841
Se 0.3074 0.6148 0.6841
Se 0.9857 0.9715 0.5268
Se 0.6598 0.3196 0.5186
Se 0.3030 0.6059 0.3595
Se 0.0143 0.0285 0.0268
Se 0.6970 0.3941 0.8595
Se 0.4995 0.9990 0.2423
Se 0.5005 0.0010 0.7423
Se 0.3402 0.6804 0.0186
Ho 0.8234 0.6468 0.5227
Ho 0.1766 0.3532 0.0227



Record 2
LiAcTbAl | GGA-PBE | optimized geometry

Output
* density of states at the Fermi level: 3.65 states/eV per cell
* raw total energy: -3.73 eV per atom
* total moment: 0.000 μB/f.u.

a = 5.4141 Å, b = 5.4141 Å, c = 5.4141 Å
α = 60.00°, β = 60.00°, γ = 60.00°
Atoms (fractional coordinates):
Ac 0.0000 0.0000 0.0000
Tb 0.5000 0.5000 0.5000
Al 0.7500 0.7500 0.7500
Li 0.2500 0.2500 0.2500



Record 3
Nd5Bi2Pb | GGA-PBE | optimized geometry

Output
* density of states at the Fermi level: 8.08 states/eV per cell
* raw total energy: -4.88 eV per atom
* total moment: 0.000 μB/f.u.

a = 8.3881 Å, b = 8.3881 Å, c = 6.9300 Å
α = 127.29°, β = 127.27°, γ = 89.95°
Atoms (fractional coordinates):
Bi 0.7225 0.2224 0.4449
Bi 0.2225 0.7225 0.4449
Nd 0.7218 0.7219 0.4438
Nd 0.7220 0.7220 0.9439
Nd 0.2220 0.7221 0.9441
Nd 0.2219 0.2219 0.9439
Nd 0.7221 0.2221 0.9442
Pb 0.2221 0.2222 0.4443



Record 4
NaP2RuO | GGA-PBE | optimized geometry

Output
* density of states at the Fermi level: 2.92 states/eV per cell
* E_form (uncorrected): -18 meV per atom
* raw total energy: -5.29 eV per atom
* distance to the lowest polymorph of the same formula: 0.0000 eV/atom
* total moment: 0.000 μB/f.u.

a = 4.8579 Å, b = 4.8579 Å, c = 3.7148 Å
α = 90.00°, β = 90.00°, γ = 90.00°
Atoms (fractional coordinates):
P 0.0000 0.5000 0.0000
P 0.5000 0.0000 0.0000
Na 0.5000 0.5000 0.5000
O 0.0000 0.0000 0.5000
Ru 0.0000 0.0000 0.0000



Record 5
Sr2GaBiN | GGA-PBE | optimized geometry

Output
* density of states at the Fermi level: 1.36 states/eV per cell
* E_form (uncorrected): -559 meV per atom
* raw total energy: -4.28 eV per atom
* total moment: 0.000 μB/f.u.

a = 5.4396 Å, b = 5.4396 Å, c = 4.3007 Å
α = 90.00°, β = 90.00°, γ = 90.00°
Atoms (fractional coordinates):
Ga 0.0000 0.0000 0.5000
N 0.0000 0.0000 0.0000
Sr 0.5000 0.0000 0.0000
Sr 0.0000 0.5000 0.0000
Bi 0.5000 0.5000 0.5000



Record 6
BiOsI2 | GGA-PBE | optimized geometry

Output
* density of states at the Fermi level: 7.68 states/eV per cell
* E_form (uncorrected): 607 meV per atom
* raw total energy: -3.95 eV per atom
* distance to the lowest polymorph of the same formula: 0.0000 eV/atom
* total moment: 0.000 μB/f.u.

a = 9.7770 Å, b = 9.7770 Å, c = 7.4221 Å
α = 48.80°, β = 48.80°, γ = 90.00°
Atoms (fractional coordinates):
I 0.8750 0.7358 0.7500
I 0.4858 0.1250 0.2500
I 0.3750 0.5142 0.7500
I 0.2642 0.6250 0.2500
Os 0.5000 0.5000 0.0000
Os 0.2500 0.7500 0.5000
Bi 0.7500 0.2500 0.5000
Bi 0.0000 0.0000 0.0000



Q: raw total energy of number 6 (BiOsI2)?
A: -3.95 eV per atom